The following is a PBE-GGA calculation of a geometry-optimized TbDyY2 structure, from the Alexandria database.

The structure in POSCAR format:
```
TbDyY2
1.0
5.038 0.000 0.000
0.000 5.038 0.000
0.000 0.000 5.038
Tb Dy Y
1 1 2
direct
0.000 0.000 0.000
0.500 0.500 0.000
0.000 0.500 0.500
0.500 0.000 0.500
```

Output
The energy comes out at -22.07 eV per cell. The calculation puts the energy relative to the elements at 0.02 eV per atom. As for the space group: No. 123.



The following is a PBE-GGA calculation of a geometry-optimized TaNi2W structure, from the Alexandria database.

The structure in POSCAR format:
```
TaNi2W
1.0
4.418 -1.365 0.000
4.418 1.365 0.000
-0.895 0.000 4.662
Ta Ni W
1 2 1
direct
0.000 0.000 0.000
0.488 0.488 0.480
0.752 0.752 0.206
0.237 0.237 0.673
```

Output
The energy comes out at -36.40 eV per cell. The calculation puts the energy relative to the elements at -0.01 eV per atom. As for the space group: No. 8.